(1)
Compound: Ca2Sb2O7
Source: Alexandria via LeMat-Bulk
Functional: PBE-GGA
Structure: relaxed

a = 7.4059 Å, b = 7.4059 Å, c = 7.4059 Å
α = 60.00°, β = 60.00°, γ = 60.00°
With the nearest neighbours (Å) after each atom.
Sites, in units of the cell vectors:
1 Ca 0.0000 0.0000 0.0000  2 O 2.27
2 Ca 0.0000 0.0000 0.5000  2 O 2.27
3 Ca 0.0000 0.5000 0.0000  2 O 2.27
4 Ca 0.5000 0.0000 0.0000  2 O 2.27
5 Sb 0.0000 0.5000 0.5000  6 O 2.01
6 Sb 0.5000 0.0000 0.5000  6 O 2.01
7 Sb 0.5000 0.5000 0.0000  6 O 2.01
8 Sb 0.5000 0.5000 0.5000  6 O 2.01
9 O 0.1250 0.1250 0.1250  4 Ca 2.27
10 O 0.1758 0.1758 0.5742  2 Sb 2.01
11 O 0.1758 0.5742 0.1758  2 Sb 2.01
12 O 0.1758 0.5742 0.5742  2 Sb 2.01
13 O 0.4258 0.4258 0.8242  2 Sb 2.01
14 O 0.4258 0.8242 0.4258  2 Sb 2.01
15 O 0.4258 0.8242 0.8242  2 Sb 2.01
16 O 0.5742 0.1758 0.1758  2 Sb 2.01
17 O 0.5742 0.1758 0.5742  2 Sb 2.01
18 O 0.5742 0.5742 0.1758  2 Sb 2.01
19 O 0.8242 0.4258 0.4258  2 Sb 2.01
20 O 0.8242 0.4258 0.8242  2 Sb 2.01
21 O 0.8242 0.8242 0.4258  2 Sb 2.01
22 O 0.8750 0.8750 0.8750  4 Ca 2.27

* E_form (uncorrected): -2.12 eV per atom
* density of states at the Fermi level: 6.56 states/eV/cell
* crystal system: cubic
* total DFT energy (no corrections): -6.3903 eV/atom
* spin magnetization: 0.0 Bohr magnetons per cell



(2)
Compound: Tb3ThGa3
Source: Alexandria via LeMat-Bulk
Functional: PBE-GGA
Structure: relaxed

a = 9.2728 Å, b = 9.2728 Å, c = 4.7916 Å
α = 90.00°, β = 90.00°, γ = 120.00°
With the nearest neighbours (Å) after each atom.
Sites, in units of the cell vectors:
1 Tb 0.0197 0.7614 0.2500  4 Ga 2.96-3.09
2 Tb 0.2386 0.2583 0.2500  4 Ga 2.96-3.09
3 Tb 0.2583 0.0197 0.7500  4 Ga 2.96-3.09
4 Tb 0.7417 0.9803 0.2500  4 Ga 2.96-3.09
5 Tb 0.7614 0.7417 0.7500  4 Ga 2.96-3.09
6 Tb 0.9803 0.2386 0.7500  4 Ga 2.96-3.09
7 Th 0.3333 0.6667 0.7500  9 Ga 3.27-3.31
8 Th 0.6667 0.3333 0.2500  9 Ga 3.27-3.31
9 Ga 0.0632 0.4526 0.2500  4 Tb 2.96-3.09, 2 Ga 2.99, 1 Th 3.27
10 Ga 0.3894 0.9368 0.2500  4 Tb 2.96-3.09, 2 Ga 2.99, 1 Th 3.27
11 Ga 0.4526 0.3894 0.7500  4 Tb 2.96-3.09, 2 Ga 2.99, 1 Th 3.27
12 Ga 0.5474 0.6106 0.2500  4 Tb 2.96-3.09, 2 Ga 2.99, 1 Th 3.27
13 Ga 0.6106 0.0632 0.7500  4 Tb 2.96-3.09, 2 Ga 2.99, 1 Th 3.27
14 Ga 0.9368 0.5474 0.7500  4 Tb 2.96-3.09, 2 Ga 2.99, 1 Th 3.27

* density of states at the Fermi level: 12.59 states/eV/cell
* crystal system: hexagonal
* total DFT energy (no corrections): -4.7349 eV/atom
* DFT formation energy: -393 meV/atom
* spin magnetization: 0.0 Bohr magnetons per cell



(3)
Compound: Ta2TiCdH
Source: Alexandria via LeMat-Bulk
Functional: PBE-GGA
Structure: relaxed

a = 4.0858 Å, b = 4.0858 Å, c = 4.4777 Å
α = 90.00°, β = 90.00°, γ = 90.00°
With the nearest neighbours (Å) after each atom.
Sites, in units of the cell vectors:
1 Ta 0.0000 0.5000 0.0000  2 H 2.04
2 Ta 0.5000 0.0000 0.0000  2 H 2.04
3 Ti 0.0000 0.0000 0.5000  2 H 2.24
4 Cd 0.5000 0.5000 0.5000  4 Ti 2.89, 8 Ta 3.03
5 H 0.0000 0.0000 0.0000  4 Ta 2.04, 2 Ti 2.24

* density of states at the Fermi level: 4.25 states/eV/cell
* crystal system: tetragonal
* total DFT energy (no corrections): -7.1369 eV/atom
* spin magnetization: 0.0 Bohr magnetons per cell



(4)
Compound: Er4CS2O
Source: Alexandria via LeMat-Bulk
Functional: PBE-GGA
Structure: relaxed

a = 6.2525 Å, b = 3.6365 Å, c = 6.5265 Å
α = 90.00°, β = 108.74°, γ = 90.00°
With the nearest neighbours (Å) after each atom.
Sites, in units of the cell vectors:
1 Er 0.2333 0.0000 0.2120  2 C 2.46, 1 O 2.49, 1 S 2.72
2 Er 0.2531 0.5000 0.7851  1 C 2.43, 2 O 2.50, 2 S 2.72
3 Er 0.7469 0.5000 0.2149  1 C 2.43, 2 O 2.50, 2 S 2.72
4 Er 0.7667 0.0000 0.7880  2 C 2.46, 1 O 2.49, 1 S 2.72
5 C 0.0000 0.5000 0.0000  6 Er 2.43-2.46
6 S 0.0000 0.0000 0.5000  6 Er 2.72
7 S 0.5000 0.5000 0.5000  6 Er 2.76-2.77
8 O 0.5000 0.0000 0.0000  6 Er 2.49-2.50

* E_form (uncorrected): -1.88 eV per atom
* density of states at the Fermi level: 2.22 states/eV/cell
* crystal system: monoclinic
* total DFT energy (no corrections): -6.9630 eV/atom
* spin magnetization: 0.0 Bohr magnetons per cell



(5)
Compound: BiICl
Source: Alexandria via LeMat-Bulk
Functional: PBE-GGA
Structure: relaxed

a = 8.3121 Å, b = 8.3121 Å, c = 8.6639 Å
α = 90.00°, β = 90.00°, γ = 134.40°
With the nearest neighbours (Å) after each atom.
Sites, in units of the cell vectors:
1 Bi 0.1038 0.8962 0.9980  2 Cl 2.75
2 Bi 0.3962 0.6038 0.4980  2 Cl 2.75
3 Bi 0.6038 0.3962 0.5020  2 Cl 2.75
4 Bi 0.8962 0.1038 0.0020  2 Cl 2.75
5 I 0.1123 0.8877 0.6320  3 Bi 3.17-3.41
6 I 0.3877 0.6123 0.1320  3 Bi 3.17-3.41
7 I 0.6123 0.3877 0.8680  3 Bi 3.17-3.41
8 I 0.8877 0.1123 0.3680  3 Bi 3.17-3.41
9 Cl 0.1168 0.3832 0.7500  2 Bi 2.75
10 Cl 0.3832 0.1168 0.2500  2 Bi 2.75
11 Cl 0.6168 0.8832 0.7500  2 Bi 2.75
12 Cl 0.8832 0.6168 0.2500  2 Bi 2.75

* E_form (uncorrected): -0.47 eV per atom
* crystal system: orthorhombic
* total DFT energy (no corrections): -2.8919 eV/atom
* spin magnetization: 0.0 Bohr magnetons per cell



(6)
Compound: LaPdBr2
Source: Alexandria via LeMat-Bulk
Functional: PBE-GGA
Structure: relaxed

a = 9.3020 Å, b = 9.3020 Å, c = 9.3020 Å
α = 24.41°, β = 24.41°, γ = 24.41°
With the nearest neighbours (Å) after each atom.
Sites, in units of the cell vectors:
1 La 0.0000 0.0000 0.0000  6 Br 3.05
2 Pd 0.5000 0.5000 0.5000  2 Br 2.47
3 Br 0.4087 0.4087 0.4087  1 Pd 2.47
4 Br 0.5913 0.5913 0.5913  1 Pd 2.47

* E_form (uncorrected): -0.81 eV per atom
* density of states at the Fermi level: 4.72 states/eV/cell
* crystal system: trigonal
* total DFT energy (no corrections): -4.1762 eV/atom
* E above lowest polymorph: 128 meV per atom
* spin magnetization: 0.0 Bohr magnetons per cell



(7)
Compound: NaCo4S8
Source: Alexandria via LeMat-Bulk
Functional: PBE-GGA
Structure: relaxed

a = 7.9668 Å, b = 7.9668 Å, c = 7.9668 Å
α = 48.28°, β = 48.28°, γ = 48.28°
With the nearest neighbours (Å) after each atom.
Sites, in units of the cell vectors:
1 Na 0.0000 0.0000 0.0000  6 S 2.96
2 Co 0.0000 0.0000 0.5000  6 S 2.25
3 Co 0.0000 0.5000 0.0000  6 S 2.25
4 Co 0.5000 0.0000 0.0000  6 S 2.25
5 Co 0.5000 0.5000 0.5000  6 S 2.25
6 S 0.2253 0.2253 0.2253  3 Co 2.25
7 S 0.2246 0.7253 0.7253  3 Co 2.25
8 S 0.2747 0.2747 0.7754  3 Co 2.25
9 S 0.2747 0.7754 0.2747  3 Co 2.25
10 S 0.7253 0.2246 0.7253  3 Co 2.25
11 S 0.7253 0.7253 0.2246  3 Co 2.25
12 S 0.7754 0.2747 0.2747  3 Co 2.25
13 S 0.7747 0.7747 0.7747  3 Co 2.25

* E_form (uncorrected): -0.39 eV per atom
* density of states at the Fermi level: 15.88 states/eV/cell
* crystal system: trigonal
* total DFT energy (no corrections): -5.2216 eV/atom
* spin magnetization: 0.4 Bohr magnetons per cell



(8)
Compound: FeTcRh
Source: Alexandria via LeMat-Bulk
Functional: PBE-GGA
Structure: relaxed

a = 4.2366 Å, b = 4.2366 Å, c = 2.6209 Å
α = 90.00°, β = 90.00°, γ = 120.00°
With the nearest neighbours (Å) after each atom.
Sites, in units of the cell vectors:
1 Fe 0.0000 0.0000 0.0000  3 Rh 2.45, 2 Fe 2.62
2 Tc 0.3333 0.6667 0.5000  2 Tc 2.62, 6 Fe 2.77, 6 Rh 2.77
3 Rh 0.6667 0.3333 0.0000  3 Fe 2.45, 2 Rh 2.62

* density of states at the Fermi level: 2.22 states/eV/cell
* crystal system: hexagonal
* total DFT energy (no corrections): -8.6854 eV/atom
* DFT formation energy: 41 meV/atom
* E above lowest polymorph: 36 meV per atom
* spin magnetization: 2.5 Bohr magnetons per cell